First-principles (PBE+U) data for a geometry-optimized Tl2NiH2F6 structure, as listed in Alexandria via LeMat-Bulk.

## Properties
Total DFT energy (no corrections) = -89.16 eV for the cell shown
Spin magnetization = 0.183 μB per atom
Volume = 153.9 Å³/f.u.

```
data_Tl2NiH2F6
_chemical_formula_sum 'Tl4 Ni2 H4 F12'
_cell_length_a 9.245
_cell_length_b 5.892
_cell_length_c 6.961
_cell_angle_alpha 90.00
_cell_angle_beta 125.74
_cell_angle_gamma 90.00
_symmetry_space_group_name_H-M 'C 1 2/m 1'
_symmetry_Int_Tables_number 12
_symmetry_space_group_name_Hall '-C 2y'
loop_
_atom_site_label
_atom_site_type_symbol
_atom_site_fract_x
_atom_site_fract_y
_atom_site_fract_z
Tl1 Tl 0.241 0.000 0.204
Ni1 Ni 0.000 0.000 0.500
H1 H 0.126 0.500 0.272
F1 F 0.029 0.245 0.327
F2 F 0.207 0.500 0.225
```